Entry from Alexandria via LeMat-Bulk: a relaxed Rh2WBr crystal (PBE).

Its total moment is 0.00 μB per formula unit. As for the uncorrected formation energy: 0.413 eV/atom. The value obtained for the total energy is -6.920 eV/atom.

Cell lengths 8.855, 3.057, 6.183 Å; angles 90.00, 106.35, 90.00 degrees
Space group Cm (No. 8)
Asymmetric unit:
Rh1 0.000 0.000 0.000
Rh2 0.236 0.000 0.785
W1 0.231 0.500 0.110
Br1 0.375 0.000 0.456